# 1
ScBeZnSb PBE relaxed; total moment = 0.17 Bohr magnetons per cell; final energy = -0.1341 hartree per atom; crystal system = cubic
1.0
6.703 0.000 0.000
0.000 6.703 0.000
0.000 0.000 6.703
Sc Be Zn Sb
4 4 4 4
direct
0.000 0.000 0.000
0.000 0.500 0.500
0.500 0.000 0.500
0.500 0.500 0.000
0.250 0.250 0.750
0.250 0.750 0.250
0.750 0.250 0.250
0.750 0.750 0.750
0.000 0.000 0.500
0.000 0.500 0.000
0.500 0.000 0.000
0.500 0.500 0.500
0.250 0.250 0.250
0.250 0.750 0.750
0.750 0.250 0.750
0.750 0.750 0.250

---

# 2
HoAlGa3Ni PBE relaxed; total moment = 0.00 Bohr magnetons per cell; final energy = -0.1599 hartree per atom; crystal system = orthorhombic
1.0
2.045 -7.623 0.000
2.045 7.623 0.000
0.000 0.000 6.534
Ho Al Ga Ni
2 2 6 2
direct
0.121 0.879 0.750
0.879 0.121 0.250
0.500 0.500 0.000
0.500 0.500 0.500
0.070 0.930 0.250
0.316 0.684 0.550
0.316 0.684 0.950
0.684 0.316 0.050
0.684 0.316 0.450
0.930 0.070 0.750
0.224 0.776 0.250
0.776 0.224 0.750

---

# 3
SmGaCo PBE relaxed; total moment = 0.00 Bohr magnetons per cell; final energy = -0.1984 hartree per atom; crystal system = orthorhombic
1.0
7.235 0.000 0.000
0.000 4.503 0.000
0.000 0.000 6.802
Sm Ga Co
4 4 4
direct
0.032 0.250 0.191
0.468 0.750 0.691
0.532 0.250 0.309
0.968 0.750 0.809
0.191 0.250 0.613
0.309 0.750 0.113
0.691 0.250 0.887
0.809 0.750 0.387
0.147 0.750 0.437
0.353 0.250 0.937
0.647 0.750 0.063
0.853 0.250 0.563

---

# 4
Y2Mg3Cu2 PBE relaxed; total moment = 0.02 Bohr magnetons per cell; final energy = -0.1372 hartree per atom; crystal system = orthorhombic
1.0
4.120 0.000 0.000
0.000 20.972 0.000
0.000 0.000 3.638
Y Mg Cu
4 6 4
direct
0.000 0.172 0.000
0.000 0.828 0.000
0.500 0.328 0.000
0.500 0.672 0.000
0.000 0.000 0.000
0.000 0.422 0.500
0.000 0.578 0.500
0.500 0.078 0.500
0.500 0.500 0.000
0.500 0.922 0.500
0.000 0.286 0.500
0.000 0.714 0.500
0.500 0.214 0.500
0.500 0.786 0.500

---

# 5
AcGd2O4 PBE relaxed; total moment = 0.34 Bohr magnetons per cell; final energy = -0.2926 hartree per atom; crystal system = cubic
1.0
0.000 4.982 4.982
4.982 0.000 4.982
4.982 4.982 0.000
Ac Gd O
2 4 8
direct
0.125 0.125 0.125
0.875 0.875 0.875
0.000 0.500 0.500
0.500 0.000 0.500
0.500 0.500 0.000
0.500 0.500 0.500
0.266 0.266 0.266
0.266 0.266 0.702
0.266 0.702 0.266
0.298 0.734 0.734
0.702 0.266 0.266
0.734 0.298 0.734
0.734 0.734 0.298
0.734 0.734 0.734

---

# 6
Ho2Tm3Ga3 PBE relaxed; total moment = 0.01 Bohr magnetons per cell; final energy = -0.1545 hartree per atom; crystal system = hexagonal
1.0
6.820 0.000 0.000
-3.410 5.906 0.000
0.000 0.000 4.907
Ho Tm Ga
2 3 3
direct
0.000 0.000 0.000
0.333 0.667 0.500
0.352 0.176 0.500
0.824 0.176 0.500
0.824 0.648 0.500
0.518 0.035 0.000
0.518 0.482 0.000
0.965 0.482 0.000

---

Q: total moment of number 5 (AcGd2O4)?
A: 0.34 Bohr magnetons per cell

---

Q: Number 4 is which compound?
A: Y2Mg3Cu2

---

Q: The lowest final energy belongs to which entry?
A: AcGd2O4

---

Q: The highest final energy belongs to which entry?
A: ScBeZnSb